DFT (PBE-GGA) results for a geometry-optimized Nb5Zn2B2 structure.

volume = 537 Å³ per cell
E_form = -0.27 eV per atom
total magnetization = 0.000 Bohr magnetons per cell

Lattice parameters (Å, degrees): 13.5819 6.3081 6.2650 90.00 90.00 90.00
With the nearest neighbours (Å) after each atom.
Space group Cmce (No. 64)
One atom of each set of equivalent atoms:
Nb: 0.0000 0.0000 0.0000 (multiplicity 4)  4 B 2.55-2.61, 8 Nb 2.74-2.79
Nb: 0.1136 0.1902 0.3177 (multiplicity 16)  3 B 2.43-2.44, 1 Zn 2.70
Zn: 0.2291 0.0000 0.0000 (multiplicity 8)  6 Nb 2.70-2.80
B: 0.0000 0.0998 0.6051 (multiplicity 8)  1 B 1.82

DFT (PBE-GGA) results for a geometry-optimized K2CaCl structure.

volume = 170 Å³ per cell
formation energy without anion corrections = -0.680 eV/atom
energy relative to the lowest polymorph listed for this composition = 3.96 kcal/mol of atoms
total magnetization = 0.000 Bohr magnetons per cell

Lattice parameters (Å, degrees): 3.8710 3.8710 11.3135 90.00 90.00 90.00
With the nearest neighbours (Å) after each atom.
Space group P4mm (No. 99)
One atom of each set of equivalent atoms:
K: 0.0000 0.0000 0.0000 (multiplicity 1)  4 Cl 3.40
K: 0.5000 0.5000 0.3478 (multiplicity 1)  4 K 3.87, 4 Ca 4.31
Ca: 0.0000 0.0000 0.6422 (multiplicity 1)  4 Cl 3.41
Cl: 0.5000 0.5000 0.8212 (multiplicity 1)  4 K 3.40, 4 Ca 3.41

Total DFT energy (no corrections) list, top to bottom, in eV/atom: -7.63, -2.19